(1)
VASP calculation (GGA-PBE) on Pm8Co2Pd after structural relaxation.

Cell: 5.1311 6.7483 9.1411 Å, 101.44 106.30 90.00°
Closest atoms and distances in Å follow each position.
Element x y z (fractional)
Pm (0.4104, 0.5574, 0.8209)  1 Pd 3.07, 3 Pm 3.37-3.39
Pm (0.6736, 0.9704, 0.3473)  1 Co 2.63
Pm (0.8004, 0.6613, 0.6009)  1 Co 2.66
Pm (0.9555, 0.2204, 0.9110)  1 Co 2.85, 2 Pd 3.14
Pm (0.1996, 0.3387, 0.3991)  1 Co 2.66
Pm (0.3264, 0.0296, 0.6527)  1 Co 2.63
Pm (0.5896, 0.4426, 0.1791)  1 Pd 3.07, 3 Pm 3.37-3.39
Pm (0.0445, 0.7796, 0.0890)  1 Co 2.85, 2 Pd 3.14
Co (0.7978, 0.2655, 0.5955)  3 Pm 2.63-2.85
Co (0.2022, 0.7345, 0.4045)  3 Pm 2.63-2.85
Pd (0.5000, 0.0000, 0.0000)  8 Pm 3.07-3.14

Calculated values
The calculation puts the volume at 297.24 Å³/cell. The energy relative to the elements is -0.15 eV per atom. The symmetry is C2/m. The energy relative to the lowest polymorph listed for this composition comes out at 0.000 eV per formula unit. The final energy comes out at -5.37 eV per atom. Its density of states at the Fermi level is 13.14 states/eV/cell.

(2)
VASP calculation (GGA-PBE) on Ac3Nd2Tl7 after structural relaxation.

Cell: 6.0590 5.5322 12.7118 Å, 102.57 90.00 90.00°
Closest atoms and distances in Å follow each position.
Element x y z (fractional)
Ac (0.5000, 0.5000, 0.0000)  8 Tl 3.49-3.54
Ac (0.5000, 0.6703, 0.3405)  4 Tl 3.34-3.47
Ac (0.5000, 0.3297, 0.6595)  4 Tl 3.34-3.47
Nd (0.0000, 0.8592, 0.7183)  8 Tl 3.23-3.49
Nd (0.0000, 0.1408, 0.2817)  8 Tl 3.23-3.49
Tl (0.0000, 0.4263, 0.8526)  2 Nd 3.23, 2 Tl 3.32, 2 Ac 3.54
Tl (0.0000, 0.7269, 0.4538)  2 Tl 2.99, 1 Nd 3.28, 2 Ac 3.34
Tl (0.0000, 0.0000, 0.0000)  8 Tl 3.32-3.70, 2 Nd 3.49
Tl (0.0000, 0.5737, 0.1474)  2 Nd 3.23, 2 Tl 3.32, 2 Ac 3.54
Tl (0.5000, 0.0859, 0.1719)  2 Nd 3.32, 4 Ac 3.47-3.49, 2 Tl 3.70
Tl (0.5000, 0.9141, 0.8281)  2 Nd 3.32, 4 Ac 3.47-3.49, 2 Tl 3.70
Tl (0.0000, 0.2731, 0.5462)  2 Tl 2.99, 1 Nd 3.28, 2 Ac 3.34

Calculated values
The calculation puts the volume at 415.88 Å³/cell. The energy relative to the elements is -0.17 eV per atom. The symmetry is Cmmm. The final energy comes out at -3.38 eV per atom. Its density of states at the Fermi level is 10.66 states/eV/cell.

(3)
VASP calculation (GGA-PBE) on TcSbTe2Se after structural relaxation.

Cell: 5.1250 5.1250 5.2973 Å, 90.00 90.00 90.00°
Closest atoms and distances in Å follow each position.
Element x y z (fractional)
Sb (0.0000, 0.0000, 0.5000)  2 Tc 2.65
Te (0.0000, 0.5000, 0.0000)  2 Tc 2.56
Te (0.5000, 0.0000, 0.0000)  2 Tc 2.56
Tc (0.0000, 0.0000, 0.0000)  4 Te 2.56, 2 Sb 2.65
Se (0.5000, 0.5000, 0.5000)  4 Sb 3.62, 8 Te 3.69

Calculated values
The calculation puts the volume at 139.14 Å³/cell. The symmetry is P4/mmm. The energy relative to the lowest polymorph listed for this composition comes out at 0.000 eV per formula unit. The calculation puts the energy relative to the elements, uncorrected at 0.50 eV/atom. The final energy comes out at -4.35 eV per atom. Its density of states at the Fermi level is 6.40 states/eV/cell.

(4)
VASP calculation (GGA-PBE) on Tl2CuAg after structural relaxation.

Cell: 4.9981 4.9981 4.9981 Å, 60.00 60.00 60.00°
Closest atoms and distances in Å follow each position.
Element x y z (fractional)
Tl (0.2500, 0.2500, 0.2500)  4 Cu 3.06, 4 Ag 3.06
Tl (0.7500, 0.7500, 0.7500)  4 Cu 3.06, 4 Ag 3.06
Cu (0.0000, 0.0000, 0.0000)  8 Tl 3.06
Ag (0.5000, 0.5000, 0.5000)  8 Tl 3.06

Calculated values
The calculation puts the volume at 88.29 Å³/cell. The energy relative to the elements is 0.28 eV per atom. The symmetry is Fm-3m. The energy relative to the lowest polymorph listed for this composition comes out at 0.426 eV per formula unit. The final energy comes out at -2.64 eV per atom. Its density of states at the Fermi level is 1.36 states/eV/cell.